1.
# Ta2GaC

A relaxed structure of Ta2GaC (PBE, the Alexandria database).

Calculated values
Its calculated total energy is -9.4153 eV/atom. The calculation puts the formation enthalpy at 0 K at -0.4263 eV/atom. As for the density of states at the Fermi level: 3.534 states/eV/cell. For the offset from the most stable computed form, the calculation gives 92 meV/atom.

abc: 5.428 3.144 7.096
angles: 90.00 104.02 90.00
Space group C2/m (No. 12)
Asymmetric unit:
Ta 0.220 0.000 0.175 x4
Ga 0.000 0.000 0.500 x2
C 0.000 0.500 0.000 x2

=====

2.
# CeTmAgIr

A relaxed structure of CeTmAgIr (PBE, the Alexandria database).

Calculated values
Its calculated total energy is -6.0213 eV/atom. The calculation puts the formation enthalpy at 0 K at -0.4918 eV/atom. As for the density of states at the Fermi level: 24.161 states/eV/cell.

abc: 7.072 7.072 7.072
angles: 90.00 90.00 90.00
Space group F-43m (No. 216)
Asymmetric unit:
Ce 0.000 0.000 0.000 x4
Tm 0.000 0.000 0.500 x4
Ag 0.250 0.250 0.250 x4
Ir 0.250 0.250 0.750 x4

=====

3.
# Sr5Mg4Ag

A relaxed structure of Sr5Mg4Ag (PBE, the Alexandria database).

Calculated values
Its calculated total energy is -1.8610 eV/atom. The calculation puts the formation enthalpy at 0 K at -0.0971 eV/atom. As for the density of states at the Fermi level: 7.704 states/eV/cell.

abc: 4.067 4.067 21.254
angles: 90.00 90.00 90.00
Space group P4/mmm (No. 123)
Asymmetric unit:
Sr 0.000 0.000 0.000 x1
Sr 0.000 0.000 0.204 x2
Sr 0.000 0.000 0.410 x2
Mg 0.500 0.500 0.102 x2
Mg 0.500 0.500 0.306 x2
Ag 0.500 0.500 0.500 x1

=====

4.
# MgTl2In

A relaxed structure of MgTl2In (PBE, the Alexandria database).

Calculated values
Its calculated total energy is -2.2453 eV/atom. The calculation puts the formation enthalpy at 0 K at 0.0211 eV/atom. As for the density of states at the Fermi level: 8.489 states/eV/cell.

abc: 3.4801 3.4801 31.1789
angles: 90.00 90.00 120.00
Space group R-3m (No. 166, hexagonal axes)
Asymmetric unit:
Mg 0.0000 0.0000 0.0000 x3
Tl 0.0000 0.0000 0.2535 x6
In 0.0000 0.0000 0.5000 x3

=====

5.
# Co2TeW

A relaxed structure of Co2TeW (PBE, the Alexandria database).

Calculated values
Its calculated total energy is -7.0610 eV/atom. As for the density of states at the Fermi level: 8.461 states/eV/cell.

abc: 5.358 7.383 2.958
angles: 90.00 90.00 90.00
Space group Cmmm (No. 65)
Asymmetric unit:
Co 0.250 0.250 0.000 x4
Te 0.000 0.000 0.500 x2
W 0.000 0.500 0.500 x2

=====

6.
# In2PbF

A relaxed structure of In2PbF (PBE, the Alexandria database).

Calculated values
Its calculated total energy is -3.4395 eV/atom. As for the density of states at the Fermi level: 7.193 states/eV/cell. For the offset from the most stable computed form, the calculation gives 0 meV/atom.

abc: 3.3070 3.3070 31.7643
angles: 90.00 90.00 120.00
Space group R-3m (No. 166, hexagonal axes)
Asymmetric unit:
In 0.0000 0.0000 0.1060 x6
Pb 0.0000 0.0000 0.0000 x3
F 0.0000 0.0000 0.5000 x3

=====

7.
# LaHgBi3

A relaxed structure of LaHgBi3 (PBE, the Alexandria database).

Calculated values
Its calculated total energy is -3.2186 eV/atom. The calculation puts the formation enthalpy at 0 K at 0.1558 eV/atom. As for the density of states at the Fermi level: 5.600 states/eV/cell. For the offset from the most stable computed form, the calculation gives 564 meV/atom.

abc: 5.679 5.679 5.679
angles: 90.00 90.00 90.00
Space group Pm-3m (No. 221)
Asymmetric unit:
La 0.000 0.000 0.000 x1
Hg 0.500 0.500 0.500 x1
Bi 0.000 0.500 0.500 x3

=====

8.
# HfNiN3

A relaxed structure of HfNiN3 (PBE, the Alexandria database).

Calculated values
Its calculated total energy is -7.0454 eV/atom. As for the density of states at the Fermi level: 6.767 states/eV/cell.

abc: 4.120 4.120 4.120
angles: 90.00 90.00 90.00
Space group Pm-3m (No. 221)
Asymmetric unit:
Hf 0.000 0.000 0.000 x1
Ni 0.500 0.500 0.500 x1
N 0.000 0.000 0.500 x3

=====

no.,total magnetic moment (μB per cell)
1,0.00
2,1.72
3,0.00
4,0.00
5,1.58
6,0.00
7,0.00
8,2.63